Compound: BaAuC2
Source: the Alexandria database
Functional: PBEsol
Structure: optimized geometry

Cell lengths 4.5218, 4.5218, 4.5218 Å; angles 60.00, 60.00, 60.00 degrees
With the nearest neighbours (Å) after each atom.
Atoms (fractional coordinates):
Ba: 0.0000 0.0000 0.0000  8 C 2.77
Au: 0.5000 0.5000 0.5000  8 C 2.77
C: 0.2500 0.2500 0.2500  4 Ba 2.77, 4 Au 2.77
C: 0.7500 0.7500 0.7500  4 Ba 2.77, 4 Au 2.77

Calculated values
The value obtained for the calculated volume is 16.34 A^3/atom. The energy of formation from the pure elements is 7.84 eV per formula unit. Its density is 9.10 g cm⁻³. The calculation puts the magnetization at 0.000 μB per atom. The symmetry is No. 225.

---

Compound: Ba2CaAu
Source: the Alexandria database
Functional: PBEsol
Structure: optimized geometry

Cell lengths 3.8925, 3.8925, 10.1666 Å; angles 90.00, 90.00, 90.00 degrees
With the nearest neighbours (Å) after each atom.
Atoms (fractional coordinates):
Ba: 0.0000 0.0000 0.0000  4 Au 3.41, 1 Ca 3.47
Ba: 0.5000 0.5000 0.3514  4 Ba 3.89, 4 Ca 4.16
Ca: 0.0000 0.0000 0.6584  4 Au 3.11, 1 Ba 3.47
Au: 0.5000 0.5000 0.8013  4 Ca 3.11, 4 Ba 3.41

Calculated values
The value obtained for the calculated volume is 38.51 A^3/atom. The energy of formation from the pure elements is -1.34 eV per formula unit. Its energy above the lowest structure with this stoichiometry is 0 meV per atom. Its density is 5.52 g cm⁻³. The calculation puts the magnetization at 0.000 μB per atom. The symmetry is No. 99.

---

Compound: Ba2CaAu
Source: the Alexandria database
Functional: PBEsol
Structure: optimized geometry

Cell lengths 10.7604, 10.7604, 10.7604 Å; angles 23.80, 23.80, 23.80 degrees
With the nearest neighbours (Å) after each atom.
Atoms (fractional coordinates):
Ba: 0.0000 0.0000 0.0000  3 Ca 4.19, 9 Ba 4.44-4.59
Ba: 0.2120 0.2120 0.2120  3 Au 3.20
Ca: 0.7723 0.7723 0.7723  3 Au 2.93
Au: 0.4842 0.4842 0.4842  3 Ca 2.93, 3 Ba 3.20

Calculated values
The value obtained for the calculated volume is 44.56 A^3/atom. The energy of formation from the pure elements is -1.23 eV per formula unit. Its energy above the lowest structure with this stoichiometry is 27 meV per atom. Its density is 4.77 g cm⁻³. The calculation puts the magnetization at 0.000 μB per atom. The symmetry is No. 160.

---

Compound: Ba2CaAu
Source: the Alexandria database
Functional: PBEsol
Structure: optimized geometry

Cell lengths 3.9831, 3.9831, 10.0823 Å; angles 90.00, 90.00, 90.00 degrees
With the nearest neighbours (Å) after each atom.
Atoms (fractional coordinates):
Ba: 0.0000 0.0000 0.1842  4 Au 3.37, 1 Ba 3.71
Ba: 0.0000 0.0000 0.8158  4 Au 3.37, 1 Ba 3.71
Ca: 0.5000 0.5000 0.5000  4 Ca 3.98, 8 Ba 4.25
Au: 0.5000 0.5000 0.0000  8 Ba 3.37

Calculated values
The value obtained for the calculated volume is 39.99 A^3/atom. The energy of formation from the pure elements is -1.28 eV per formula unit. Its energy above the lowest structure with this stoichiometry is 15 meV per atom. Its density is 5.31 g cm⁻³. The calculation puts the magnetization at 0.001 μB per atom. The symmetry is No. 123.

---

Compound: Ba2CaAu
Source: the Alexandria database
Functional: PBEsol
Structure: optimized geometry

Cell lengths 7.4516, 7.4516, 7.4516 Å; angles 149.03, 132.38, 57.89 degrees
With the nearest neighbours (Å) after each atom.
Atoms (fractional coordinates):
Ba: 0.0000 0.0000 0.0000  4 Au 3.61, 2 Ca 3.82, 4 Ba 3.86-3.98
Ba: 0.6853 0.1853 0.5000  2 Au 3.26
Ca: 0.3190 0.8190 0.5000  2 Au 2.96
Au: 0.4869 0.4869 0.0000  2 Ca 2.96, 2 Ba 3.26

Calculated values
The value obtained for the calculated volume is 39.03 A^3/atom. The energy of formation from the pure elements is -1.26 eV per formula unit. Its energy above the lowest structure with this stoichiometry is 19 meV per atom. Its density is 5.44 g cm⁻³. The calculation puts the magnetization at 0.000 μB per atom. The symmetry is No. 44.

---

Compound: BaCaAu2
Source: the Alexandria database
Functional: PBEsol
Structure: optimized geometry

Cell lengths 6.0296, 6.0296, 6.0296 Å; angles 48.94, 48.94, 48.94 degrees
With the nearest neighbours (Å) after each atom.
Atoms (fractional coordinates):
Ba: 0.0000 0.0000 0.0000  8 Au 3.36-3.47
Ca: 0.5000 0.5000 0.5000  6 Au 2.97
Au: 0.2115 0.2115 0.2115  3 Ca 2.97, 3 Au 3.22
Au: 0.7885 0.7885 0.7885  3 Ca 2.97, 3 Au 3.22

Calculated values
The value obtained for the calculated volume is 28.61 A^3/atom. The energy of formation from the pure elements is -2.59 eV per formula unit. Its density is 8.29 g cm⁻³. The calculation puts the magnetization at 0.000 μB per atom. The symmetry is No. 166.

---

Compound: BaCaAu3
Source: the Alexandria database
Functional: PBEsol
Structure: optimized geometry

Cell lengths 5.7329, 5.7329, 5.7329 Å; angles 90.00, 90.00, 90.00 degrees
With the nearest neighbours (Å) after each atom.
Atoms (fractional coordinates):
Ba: 0.0000 0.0000 0.0000  6 Au 2.87
Ca: 0.5000 0.5000 0.5000  12 Au 4.05
Au: 0.0000 0.0000 0.5000  2 Ba 2.87
Au: 0.0000 0.5000 0.0000  2 Ba 2.87
Au: 0.5000 0.0000 0.0000  2 Ba 2.87

Calculated values
The value obtained for the calculated volume is 37.68 A^3/atom. The energy of formation from the pure elements is 1.51 eV per formula unit. Its density is 6.77 g cm⁻³. The calculation puts the magnetization at 0.000 μB per atom. The symmetry is No. 221.

---

Compound: BaCaAu2
Source: the Alexandria database
Functional: PBEsol
Structure: optimized geometry

Cell lengths 3.6998, 5.3605, 5.3574 Å; angles 90.00, 90.00, 90.00 degrees
With the nearest neighbours (Å) after each atom.
Atoms (fractional coordinates):
Ba: 0.0000 0.0000 0.0000  8 Au 3.25-3.26
Ca: 0.0000 0.5000 0.5002  8 Au 3.25-3.26
Au: 0.5000 0.0000 0.4999  4 Ba 3.25-3.26, 4 Ca 3.26
Au: 0.5000 0.5000 0.0014  4 Ca 3.25-3.26, 4 Ba 3.26

Calculated values
The value obtained for the calculated volume is 26.56 A^3/atom. The energy of formation from the pure elements is -2.50 eV per formula unit. Its density is 8.93 g cm⁻³. The calculation puts the magnetization at 0.000 μB per atom. The symmetry is No. 25.

---

Compound: BaCa3Au
Source: the Alexandria database
Functional: PBEsol
Structure: optimized geometry

Cell lengths 5.8057, 5.8057, 5.8057 Å; angles 90.00, 90.00, 90.00 degrees
With the nearest neighbours (Å) after each atom.
Atoms (fractional coordinates):
Ba: 0.0000 0.0000 0.0000  12 Ca 4.11
Ca: 0.0000 0.5000 0.5000  2 Au 2.90
Ca: 0.5000 0.0000 0.5000  2 Au 2.90
Ca: 0.5000 0.5000 0.0000  2 Au 2.90
Au: 0.5000 0.5000 0.5000  6 Ca 2.90

Calculated values
The value obtained for the calculated volume is 39.14 A^3/atom. The energy of formation from the pure elements is -1.62 eV per formula unit. Its density is 3.86 g cm⁻³. The calculation puts the magnetization at 0.000 μB per atom. The symmetry is No. 221.

---

Compound: BaCaAu2
Source: the Alexandria database
Functional: PBEsol
Structure: optimized geometry

Cell lengths 4.6421, 6.1900, 6.1900 Å; angles 39.96, 90.00, 90.00 degrees
With the nearest neighbours (Å) after each atom.
Atoms (fractional coordinates):
Ba: 0.0000 0.0000 0.0000  7 Au 3.22-3.35
Ca: 0.5000 0.7231 0.7231  7 Au 3.16-3.47
Au: 0.0000 0.2764 0.2764  2 Au 2.89, 4 Ca 3.20, 1 Ba 3.22
Au: 0.5000 0.4249 0.4249  2 Au 2.89, 2 Ca 3.16

Calculated values
The value obtained for the calculated volume is 28.56 A^3/atom. The energy of formation from the pure elements is -2.66 eV per formula unit. Its density is 8.31 g cm⁻³. The calculation puts the magnetization at 0.000 μB per atom. The symmetry is No. 38.

---

Compound: Ba2CaAu
Source: the Alexandria database
Functional: PBEsol
Structure: optimized geometry

Cell lengths 4.1854, 8.2027, 8.2027 Å; angles 36.38, 90.00, 90.00 degrees
With the nearest neighbours (Å) after each atom.
Atoms (fractional coordinates):
Ba: 0.0000 0.0000 0.0000  4 Au 3.37
Ba: 0.5000 0.3276 0.3276  1 Au 3.33
Ca: 0.0000 0.6797 0.6797  2 Au 3.01
Au: 0.5000 0.5411 0.5411  2 Ca 3.01, 5 Ba 3.33-3.37

Calculated values
The value obtained for the calculated volume is 41.76 A^3/atom. The energy of formation from the pure elements is -1.19 eV per formula unit. Its energy above the lowest structure with this stoichiometry is 39 meV per atom. Its density is 5.09 g cm⁻³. The calculation puts the magnetization at 0.000 μB per atom. The symmetry is No. 38.

---

Compound: BaCaAu2
Source: the Alexandria database
Functional: PBEsol
Structure: optimized geometry

Cell lengths 3.7544, 3.7544, 7.4533 Å; angles 90.00, 90.00, 90.00 degrees
With the nearest neighbours (Å) after each atom.
Atoms (fractional coordinates):
Ba: 0.0000 0.0000 0.0000  8 Au 3.44, 2 Ca 3.73, 4 Ba 3.75
Ca: 0.0000 0.0000 0.5000  8 Au 3.07
Au: 0.5000 0.5000 0.2927  4 Ca 3.07, 1 Au 3.09, 4 Ba 3.44
Au: 0.5000 0.5000 0.7073  4 Ca 3.07, 1 Au 3.09, 4 Ba 3.44

Calculated values
The value obtained for the calculated volume is 26.26 A^3/atom. The energy of formation from the pure elements is -2.70 eV per formula unit. Its density is 9.03 g cm⁻³. The calculation puts the magnetization at 0.000 μB per atom. The symmetry is No. 123.

---

Q: Which of these has the highest energy of formation from the pure elements?
A: BaAuC2

---

Q: What is the calculated volume in the tenth record?
A: 28.56 A^3/atom

---

Q: Look up the magnetization of the eighth one.
A: 0.000 μB per atom